Here is an optimized crystal structure of LiNi2Rh from the Alexandria database. Energies are from GGA-PBE.

```
data_LiNi2Rh
_chemical_formula_sum 'Li1 Ni2 Rh1'
_symmetry_space_group_name_H-M 'P 1'
_symmetry_Int_Tables_number 1
_cell_length_a 2.601
_cell_length_b 2.601
_cell_length_c 7.342
_cell_angle_alpha 90.00
_cell_angle_beta 90.00
_cell_angle_gamma 90.00
loop_
_symmetry_equiv_pos_as_xyz
'x,y,z'
loop_
_atom_site_label
_atom_site_fract_x
_atom_site_fract_y
_atom_site_fract_z
Rh1 0.000 0.000 0.486
Ni1 0.000 0.000 0.017
Li1 0.500 0.500 0.759
Ni2 0.500 0.500 0.238
```

DFT formation energy = 0.18 eV/f.u.
symmetry = P4mm, No. 99


Here is an optimized crystal structure of AlRe2Rh from the Alexandria database. Energies are from GGA-PBE.

```
data_AlRe2Rh
_chemical_formula_sum 'Al1 Re2 Rh1'
_symmetry_space_group_name_H-M 'P 1'
_symmetry_Int_Tables_number 1
_cell_length_a 4.644
_cell_length_b 4.644
_cell_length_c 4.644
_cell_angle_alpha 129.34
_cell_angle_beta 129.34
_cell_angle_gamma 74.47
loop_
_symmetry_equiv_pos_as_xyz
'x,y,z'
loop_
_atom_site_label
_atom_site_fract_x
_atom_site_fract_y
_atom_site_fract_z
Rh1 0.500 0.500 0.000
Re1 0.250 0.750 0.500
Re2 0.000 0.000 0.000
Al1 0.750 0.250 0.500
```

DFT formation energy = -0.44 eV/f.u.
symmetry = I-4m2, No. 119


Here is an optimized crystal structure of Nd4SnSbO from the Alexandria database. Energies are from GGA-PBE.

```
data_Nd4SnSbO
_chemical_formula_sum 'Nd8 Sn2 Sb2 O2'
_symmetry_space_group_name_H-M 'P 1'
_symmetry_Int_Tables_number 1
_cell_length_a 6.577
_cell_length_b 6.650
_cell_length_c 9.463
_cell_angle_alpha 90.00
_cell_angle_beta 110.33
_cell_angle_gamma 90.00
loop_
_symmetry_equiv_pos_as_xyz
'x,y,z'
loop_
_atom_site_label
_atom_site_fract_x
_atom_site_fract_y
_atom_site_fract_z
Nd1 0.430 0.750 0.861
O1 0.212 0.750 0.424
O2 0.788 0.250 0.576
Nd2 0.000 0.500 0.500
Nd3 0.923 0.250 0.847
Sb1 0.388 0.250 0.775
Nd4 0.500 0.000 0.500
Nd5 0.077 0.750 0.153
Nd6 0.000 0.000 0.500
Sb2 0.612 0.750 0.225
Nd7 0.500 0.500 0.500
Nd8 0.570 0.250 0.139
Sn1 0.110 0.250 0.220
Sn2 0.890 0.750 0.780
```

symmetry = Cmcm, No. 63
formation energy (no corrections) = -1.363 eV/atom


Q: Number 1 is which compound?
A: LiNi2Rh